## LiNd2MnO6 (PBE+U)

Data for LiNd2MnO6 after structural relaxation.

a = 5.379 Å, b = 5.752 Å, c = 9.298 Å
α = 90.00°, β = 124.59°, γ = 90.00°
Space group P2_1/c (No. 14)
One atom of each set of equivalent atoms:
Li (0.000, 0.000, 0.000)
Nd (0.231, 0.071, 0.749)
Mn (0.500, 0.000, 0.500)
O (0.166, 0.186, 0.458)
O (0.272, 0.717, 0.454)
O (0.344, 0.024, 0.258)

Output
The density of states at the Fermi level is 7.6 states/eV/f.u. For the calculated total energy, the calculation gives -7.276 eV per atom.